No. 1
VASP calculation (meta-GGA SCAN) on LaScBr2 at its PBEsol-relaxed geometry.

extended XYZ file:
```
12
Lattice="3.753 0.000 0.000 -1.876 3.250 0.000 0.000 0.000 29.667" Properties=species:S:1:pos:R:3 pbc="T T T"
La 0.000 0.000 0.000
La 0.000 2.167 19.778
La 1.876 1.083 9.889
Sc 0.000 0.000 22.583
Sc 0.000 2.167 12.694
Sc 1.876 1.083 2.805
Br 0.000 0.000 7.813
Br 0.000 0.000 14.390
Br 0.000 2.167 4.501
Br 0.000 2.167 27.591
Br 1.876 1.083 17.702
Br 1.876 1.083 24.279
```

Summary:
Symmetry: R3m
Raw formation energy: -125.0 kJ per mole of atoms
Density of states at the Fermi level: 1.2 states/eV/f.u.
Energy above the lowest structure with this stoichiometry: 0.000 eV per atom
Total energy: -304.326 eV for the cell shown



No. 2
VASP calculation (meta-GGA SCAN) on CuAu at its PBEsol-relaxed geometry.

extended XYZ file:
```
8
Lattice="4.882 0.000 0.000 0.000 4.882 0.000 0.000 0.000 4.882" Properties=species:S:1:pos:R:3 pbc="T T T"
Cu 0.470 0.470 0.470
Cu 1.971 4.412 2.911
Cu 2.911 1.971 4.412
Cu 4.412 2.911 1.971
Au 0.468 2.909 4.414
Au 1.973 1.973 1.973
Au 2.909 4.414 0.468
Au 4.414 0.468 2.909
```

Summary:
Symmetry: P2_13
Density of states at the Fermi level: 0.6 states/eV/f.u.
ΔH_f (0 K): -0.024 eV/atom
Total energy: -337.615 eV for the cell shown



No. 3
VASP calculation (meta-GGA SCAN) on InSiW at its PBEsol-relaxed geometry.

extended XYZ file:
```
6
Lattice="2.838 0.000 0.000 0.000 2.838 0.000 0.000 0.000 12.880" Properties=species:S:1:pos:R:3 pbc="T T T"
In 0.000 0.000 0.000
In 1.419 1.419 6.440
Si 0.000 0.000 8.907
Si 1.419 1.419 2.467
W 0.000 0.000 4.215
W 1.419 1.419 10.655
```

Summary:
Symmetry: I4mm
Raw formation energy: 63.0 kJ per mole of atoms
Density of states at the Fermi level: 1.9 states/eV/f.u.
Total energy: -222.262 eV for the cell shown